[1]
Entry from Alexandria via LeMat-Bulk: crystalline Zr2CdCoPt at its relaxed geometry (PBE-GGA).

## Properties
Total moment   0.00 Bohr magnetons per cell
Energy of formation from the pure elements   0.047 eV per atom
Theoretical density   8723 kg/m³
Space group   P4/mmm

Geometry as POSCAR:
```
Zr2CdCoPt
1.0
4.6782 0.0000 0.0000
0.0000 4.6782 0.0000
0.0000 0.0000 4.7744
Zr Cd Co Pt
2 1 1 1
direct
0.0000 0.5000 0.0000
0.5000 0.0000 0.0000
0.0000 0.0000 0.5000
0.5000 0.5000 0.0000
0.5000 0.5000 0.5000
```



[2]
Entry from Alexandria via LeMat-Bulk: crystalline Pu3CdCo at its relaxed geometry (PBE-GGA).

## Properties
Total moment   17.13 Bohr magnetons per cell
Energy of formation from the pure elements   0.173 eV per atom
Theoretical density   11243 kg/m³
Space group   Pm-3m

Geometry as POSCAR:
```
Pu3CdCo
1.0
5.1098 0.0000 0.0000
0.0000 5.1098 0.0000
0.0000 0.0000 5.1098
Pu Cd Co
3 1 1
direct
0.0000 0.0000 0.5000
0.0000 0.5000 0.0000
0.5000 0.0000 0.0000
0.5000 0.5000 0.5000
0.0000 0.0000 0.0000
```



[3]
Entry from Alexandria via LeMat-Bulk: crystalline Pu2CdCo at its relaxed geometry (PBE-GGA).

## Properties
Total moment   10.48 Bohr magnetons per cell
Energy of formation from the pure elements   0.412 eV per atom
Distance to the lowest polymorph of the same formula   0.423 eV/atom
Theoretical density   13292 kg/m³
Space group   R-3m

Geometry as POSCAR:
```
Pu2CdCo
1.0
1.4610 0.8435 11.1401
-1.4610 0.8435 11.1401
0.0000 -1.6870 11.1401
Pu Cd Co
2 1 1
direct
0.0989 0.0989 0.0989
0.9011 0.9011 0.9011
0.0000 0.0000 0.0000
0.5000 0.5000 0.5000
```



[4]
Entry from Alexandria via LeMat-Bulk: crystalline Pu2CdCo at its relaxed geometry (PBE-GGA).

## Properties
Total moment   10.17 Bohr magnetons per cell
Energy of formation from the pure elements   -0.011 eV per atom
Distance to the lowest polymorph of the same formula   0.000 eV/atom
Theoretical density   12646 kg/m³
Space group   P4/mmm

Geometry as POSCAR:
```
Pu2CdCo
1.0
3.1827 0.0000 0.0000
0.0000 3.1827 0.0000
0.0000 0.0000 8.5473
Pu Cd Co
2 1 1
direct
0.0000 0.0000 0.2018
0.0000 0.0000 0.7982
0.5000 0.5000 0.5000
0.5000 0.5000 0.0000
```



[5]
Entry from Alexandria via LeMat-Bulk: crystalline RbCd2Co at its relaxed geometry (PBE-GGA).

## Properties
Total moment   2.87 Bohr magnetons per cell
Energy of formation from the pure elements   0.500 eV per atom
Distance to the lowest polymorph of the same formula   0.000 eV/atom
Theoretical density   4280 kg/m³
Space group   I4_1/amd

Geometry as POSCAR:
```
RbCd2Co
1.0
-2.8782 2.8782 8.6465
2.8782 -2.8782 8.6465
2.8782 2.8782 -8.6465
Rb Cd Co
2 4 2
direct
0.3750 0.6250 0.7500
0.6250 0.3750 0.2500
0.0000 0.0000 0.0000
0.0000 0.0000 0.5000
0.0000 0.5000 0.0000
0.5000 0.0000 0.5000
0.1250 0.8750 0.2500
0.8750 0.1250 0.7500
```



[6]
Entry from Alexandria via LeMat-Bulk: crystalline RbCdCo2 at its relaxed geometry (PBE-GGA).

## Properties
Total moment   6.05 Bohr magnetons per cell
Energy of formation from the pure elements   0.881 eV per atom
Theoretical density   4876 kg/m³
Space group   I4_1/amd

Geometry as POSCAR:
```
RbCdCo2
1.0
-2.3835 2.3835 9.4643
2.3835 -2.3835 9.4643
2.3835 2.3835 -9.4643
Rb Cd Co
2 2 4
direct
0.3750 0.6250 0.7500
0.6250 0.3750 0.2500
0.1250 0.8750 0.2500
0.8750 0.1250 0.7500
0.0000 0.0000 0.0000
0.0000 0.0000 0.5000
0.0000 0.5000 0.0000
0.5000 0.0000 0.5000
```



[7]
Entry from Alexandria via LeMat-Bulk: crystalline RbCdCo3 at its relaxed geometry (PBE-GGA).

## Properties
Total moment   3.94 Bohr magnetons per cell
Energy of formation from the pure elements   2.356 eV per atom
Theoretical density   6155 kg/m³
Space group   Pm-3m

Geometry as POSCAR:
```
RbCdCo3
1.0
4.6582 0.0000 0.0000
0.0000 4.6582 0.0000
0.0000 0.0000 4.6582
Rb Cd Co
1 1 3
direct
0.0000 0.0000 0.0000
0.5000 0.5000 0.5000
0.0000 0.0000 0.5000
0.0000 0.5000 0.0000
0.5000 0.0000 0.0000
```



[8]
Entry from Alexandria via LeMat-Bulk: crystalline RbCd2Co at its relaxed geometry (PBE-GGA).

## Properties
Total moment   1.61 Bohr magnetons per cell
Energy of formation from the pure elements   0.731 eV per atom
Distance to the lowest polymorph of the same formula   0.231 eV/atom
Theoretical density   5736 kg/m³
Space group   Fm-3m

Geometry as POSCAR:
```
RbCd2Co
1.0
0.0000 3.7668 3.7668
3.7668 0.0000 3.7668
3.7668 3.7668 0.0000
Rb Cd Co
1 2 1
direct
0.0000 0.0000 0.0000
0.2500 0.2500 0.2500
0.7500 0.7500 0.7500
0.5000 0.5000 0.5000
```



[9]
Entry from Alexandria via LeMat-Bulk: crystalline RbCd2CoSb at its relaxed geometry (PBE-GGA).

## Properties
Total moment   0.58 Bohr magnetons per cell
Energy relative to the elements, uncorrected   -3 meV/atom
Theoretical density   6089 kg/m³
Space group   P4/mmm

Geometry as POSCAR:
```
RbCd2CoSb
1.0
5.2396 0.0000 0.0000
0.0000 5.2396 0.0000
0.0000 0.0000 4.8772
Rb Cd Co Sb
1 2 1 1
direct
0.0000 0.0000 0.0000
0.0000 0.5000 0.5000
0.5000 0.0000 0.5000
0.5000 0.5000 0.5000
0.5000 0.5000 0.0000
```



[10]
Entry from Alexandria via LeMat-Bulk: crystalline RbCdCo2Se at its relaxed geometry (PBE-GGA).

## Properties
Total moment   4.31 Bohr magnetons per cell
Energy relative to the elements, uncorrected   1102 meV/atom
Theoretical density   4302 kg/m³
Space group   P4/mmm

Geometry as POSCAR:
```
RbCdCo2Se
1.0
4.9612 0.0000 0.0000
0.0000 4.9612 0.0000
0.0000 0.0000 6.1892
Rb Cd Co Se
1 1 2 1
direct
0.0000 0.0000 0.0000
0.0000 0.0000 0.5000
0.0000 0.5000 0.5000
0.5000 0.0000 0.5000
0.5000 0.5000 0.0000
```



[11]
Entry from Alexandria via LeMat-Bulk: crystalline RbTaCdCo2 at its relaxed geometry (PBE-GGA).

## Properties
Total moment   2.77 Bohr magnetons per cell
Energy of formation from the pure elements   2.061 eV per atom
Theoretical density   6408 kg/m³
Space group   P4/mmm

Geometry as POSCAR:
```
RbTaCdCo2
1.0
4.9628 0.0000 0.0000
0.0000 4.9628 0.0000
0.0000 0.0000 5.2257
Rb Ta Cd Co
1 1 1 2
direct
0.0000 0.0000 0.0000
0.5000 0.5000 0.0000
0.5000 0.5000 0.5000
0.0000 0.5000 0.5000
0.5000 0.0000 0.5000
```



[12]
Entry from Alexandria via LeMat-Bulk: crystalline Rb2VCdCo at its relaxed geometry (PBE-GGA).

## Properties
Total moment   2.94 Bohr magnetons per cell
Energy of formation from the pure elements   0.957 eV per atom
Theoretical density   3138 kg/m³
Space group   P4/mmm

Geometry as POSCAR:
```
Rb2VCdCo
1.0
6.9717 0.0000 0.0000
0.0000 6.9717 0.0000
0.0000 0.0000 4.2813
Rb V Cd Co
2 1 1 1
direct
0.0000 0.5000 0.0000
0.5000 0.0000 0.0000
0.0000 0.0000 0.0000
0.5000 0.5000 0.5000
0.0000 0.0000 0.5000
```



These records have electronic total energy values of -30.92; -50.15; -35.04; -36.73; -15.81; -25.14; -11.42; -6.98; -14.04; -14.07; -17.64; -14.29 eV for the cell shown, in the order they appear.